A plane-wave DFT calculation with PBE+U was carried out for an optimized crystal structure of LaCu3Ni4O12.

a = 7.353 Å, b = 7.353 Å, c = 7.353 Å
α = 90.00°, β = 90.00°, γ = 90.00°
Space group Im-3 (No. 204)
Symmetry-distinct sites (fractional):
La 0.000 0.000 0.000
Cu 0.000 0.000 0.500
Ni 0.250 0.250 0.250
O 0.000 0.312 0.171

Computed properties:
V = 9.938 Å³ per atom
N(E_F) = 0.365 states/eV per atom
E_tot = -106.78 eV/f.u.